# 1
PrGd2Zr | PBE | relaxed

The structure in CIF format:
```
data_PrGd2Zr
_chemical_formula_sum 'Pr1 Gd2 Zr1'
_symmetry_space_group_name_H-M 'P 4/m m m'
_symmetry_Int_Tables_number 123
_symmetry_space_group_name_Hall '-P 4 2'
_cell_length_a 3.458
_cell_length_b 3.458
_cell_length_c 10.175
_cell_angle_alpha 90.00
_cell_angle_beta 90.00
_cell_angle_gamma 90.00
loop_
_atom_site_label
_atom_site_type_symbol
_atom_site_fract_x
_atom_site_fract_y
_atom_site_fract_z
Pr1 Pr 0.000 0.000 0.000
Gd1 Gd 0.500 0.500 0.275
Zr1 Zr 0.000 0.000 0.500
```

## Properties
Fermi-level density of states = 5.8 states/eV/f.u.
ΔE_f = 79 meV/atom



# 2
PrGd2Zr | PBE | relaxed

The structure in CIF format:
```
data_PrGd2Zr
_chemical_formula_sum 'Pr1 Gd2 Zr1'
_symmetry_space_group_name_H-M 'P 4/m m m'
_symmetry_Int_Tables_number 123
_symmetry_space_group_name_Hall '-P 4 2'
_cell_length_a 4.921
_cell_length_b 4.921
_cell_length_c 4.973
_cell_angle_alpha 90.00
_cell_angle_beta 90.00
_cell_angle_gamma 90.00
loop_
_atom_site_label
_atom_site_type_symbol
_atom_site_fract_x
_atom_site_fract_y
_atom_site_fract_z
Pr1 Pr 0.000 0.000 0.000
Gd1 Gd 0.000 0.500 0.500
Zr1 Zr 0.500 0.500 0.000
```

## Properties
Fermi-level density of states = 4.9 states/eV/f.u.
ΔE_f = 122 meV/atom